1.
YGa2Ru2 | the Alexandria database | GGA-PBE | relaxed; formation energy = -1.8 eV/f.u.; total moment = 0.332 μB per cell; E = -6.574 eV/atom; V = 16.73 Å³/atom
1.0
7.3265 0.0000 0.0000
0.0000 7.3265 0.0000
0.0000 0.0000 3.1172
Y Ga Ru
2 4 4
Cartesian
0.0000 0.0000 0.0000
3.6632 3.6632 0.0000
1.0798 2.5834 1.5586
2.5834 6.2467 1.5586
4.7431 1.0798 1.5586
6.2467 4.7431 1.5586
1.0672 4.7304 0.0000
2.5961 1.0672 0.0000
4.7304 6.2593 0.0000
6.2593 2.5961 0.0000

***

2.
CuSi2 | the Alexandria database | GGA-PBE | relaxed; total moment = 0.000 μB per cell; E = -4.563 eV/atom; V = 17.21 Å³/atom
1.0
3.5380 0.0000 0.0000
-1.7690 3.0640 0.0000
0.0000 0.0000 4.7620
Cu Si
1 2
Cartesian
0.0000 0.0000 0.0000
1.7690 1.0213 1.2118
1.7690 1.0213 3.5502

***

3.
CoAgCl2 | the Alexandria database | GGA-PBE | relaxed; total moment = 4.001 μB per cell; E = -3.581 eV/atom; polymorph energy (0 for the lowest one) = 0 meV/atom; V = 23.44 Å³/atom
1.0
14.7919 0.0000 0.0000
0.0000 3.3284 0.0000
-1.0078 0.0000 3.8089
Co Ag Cl
2 2 4
Cartesian
0.0000 0.0000 0.0000
7.3960 1.6642 0.0000
0.4930 1.6642 2.1680
7.8889 0.0000 2.1680
2.1696 0.0000 0.5732
4.9187 0.0000 3.4208
9.5656 1.6642 0.5732
12.3147 1.6642 3.4208

***

4.
KAg2As | the Alexandria database | GGA-PBE | relaxed; formation energy = 0.3 eV/f.u.; total moment = 0.000 μB per cell; E = -2.799 eV/atom; V = 23.74 Å³/atom
1.0
2.9410 0.0000 0.0000
0.0000 4.2382 0.0000
0.0000 0.0000 7.6190
K Ag As
1 2 1
Cartesian
0.0000 0.0000 0.0000
0.0000 0.0000 3.9528
1.4705 2.1191 2.5011
1.4705 2.1191 5.2891

***

5.
BaAgTe | the Alexandria database | GGA-PBE | relaxed; total moment = 0.000 μB per cell; E = -3.164 eV/atom; polymorph energy (0 for the lowest one) = 274 meV/atom; V = 40.74 Å³/atom
1.0
7.8777 0.0000 0.0000
0.0000 7.8777 0.0000
0.0000 0.0000 7.8777
Ba Ag Te
4 4 4
Cartesian
0.0000 0.0000 0.0000
0.0000 3.9388 3.9388
3.9388 0.0000 3.9388
3.9388 3.9388 0.0000
1.9694 1.9694 5.9083
1.9694 5.9083 1.9694
5.9083 1.9694 1.9694
5.9083 5.9083 5.9083
1.9694 1.9694 1.9694
1.9694 5.9083 5.9083
5.9083 1.9694 5.9083
5.9083 5.9083 1.9694

***

6.
Pu2PaTe | the Alexandria database | GGA-PBE | relaxed; total moment = 32.559 μB per cell; E = -10.316 eV/atom; polymorph energy (0 for the lowest one) = 319 meV/atom; V = 25.42 Å³/atom
1.0
4.0506 0.0000 0.0000
-2.0253 3.5079 0.0000
0.0000 0.0000 21.4692
Pu Pa Te
6 3 3
Cartesian
0.0000 0.0000 5.1002
0.0000 0.0000 16.3690
0.0000 2.3386 9.2126
0.0000 2.3386 19.4130
2.0253 1.1693 2.0562
2.0253 1.1693 12.2566
0.0000 0.0000 10.7346
0.0000 2.3386 3.5782
2.0253 1.1693 17.8910
0.0000 0.0000 0.0000
0.0000 2.3386 14.3128
2.0253 1.1693 7.1564